Computed, not measured: Mn2CrO after structural relaxation at the PBE+U level of DFT.

```
Mn2CrO
1.0
-5.2872 -3.3551 2.1763
3.9515 -3.8275 3.6992
-0.9914 -1.3592 5.5929
Cr Mn O
2 4 2
direct
0.0000 0.0000 0.0000
0.7500 0.2500 0.5000
0.5112 0.1250 0.2500
0.2388 0.6250 0.2500
0.3750 0.4888 0.7500
0.8750 0.7612 0.7500
0.5000 0.5000 0.0000
0.2500 0.7500 0.5000
```

SG: I-42d
crystal system: tetragonal
E above lowest polymorph: 0 meV/atom